# Te2MoSeI

Te2MoSeI after structural relaxation (GGA-PBE, Alexandria).

Output
Energy relative to the lowest polymorph listed for this composition, eV per atom: 0.000
Symmetry: P4/mmm, No. 123
ρ, g/cm³: 6.2
DFT total energy, eV/atom: -3.888
E_form (uncorrected), eV/atom: 0.542

Cell: 5.266 5.266 5.372 Å, 90.00 90.00 90.00°
Element x y z (fractional)
I: 0.000 0.000 0.500
Mo: 0.000 0.000 0.000
Te: 0.000 0.500 0.000
Te: 0.500 0.000 0.000
Se: 0.500 0.500 0.500